Entry from Alexandria via LeMat-Bulk: a relaxed HgWO2F crystal (PBE with a Hubbard U).

**Crystal system**: tetragonal
**Uncorrected energy**: -3.60 eV/atom

abc: 4.290 4.290 4.385
angles: 90.00 90.00 90.00
Last column: magnetic moment on the atom in μB.
Fractional coordinates of all 5 atoms:
1 O 0.000 0.500 0.000  -0.12
2 O 0.500 0.000 0.000  -0.12
3 Hg 0.000 0.000 0.000  -0.02
4 W 0.500 0.500 0.500  3.30
5 F 0.000 0.000 0.500  0.05